Density functional theory data (PBE) for a geometry-optimized Sr2LaAgN structure.

Lattice parameters (Å, degrees): 5.3885 5.3885 4.9009 90.00 90.00 90.00
With the nearest neighbours (Å) after each atom.
Space group P4/mmm (No. 123)
One atom of each set of equivalent atoms:
Sr (0.0000, 0.5000, 0.0000)  2 N 2.69
La (0.0000, 0.0000, 0.5000)  2 N 2.45
Ag (0.5000, 0.5000, 0.5000)  8 Sr 3.64, 4 La 3.81
N (0.0000, 0.0000, 0.0000)  2 La 2.45, 4 Sr 2.69

Output
Its uncorrected formation energy is -2.4 eV/f.u. The calculation puts the total DFT energy (no corrections) at -4.37 eV per atom.